# PBE with a Hubbard U CoTcF3, relaxed
# **SG**: Pm-3m
# **Relative energy among the computed polymorphs**: 0 meV per atom
data_CoTcF3
_chemical_formula_sum 'Co1 Tc1 F3'
_space_group_name_H-M_alt 'P 1'
_space_group_IT_number 1
_cell_length_a 4.079
_cell_length_b 4.079
_cell_length_c 4.079
_cell_angle_alpha 90.00
_cell_angle_beta 90.00
_cell_angle_gamma 90.00
loop_
_space_group_symop_operation_xyz
'x,y,z'
loop_
_atom_site_label
_atom_site_type_symbol
_atom_site_fract_x
_atom_site_fract_y
_atom_site_fract_z
F1 F 0.000 0.000 0.500
F2 F 0.500 0.000 0.000
F3 F 0.000 0.500 0.000
Co1 Co 0.000 0.000 0.000
Tc1 Tc 0.500 0.500 0.500